# 1
NaTc3P2: optimized geometry, PBE-GGA.

Values from the calculation:
Fermi-level density of states, states/eV per cell: 12.29

Cell and atoms, written as CIF:
```
data_NaTc3P2
_symmetry_space_group_name_H-M 'C 1 2/m 1'
_symmetry_Int_Tables_number 12
_symmetry_space_group_name_Hall '-C 2y'
_cell_length_a 16.886
_cell_length_b 3.019
_cell_length_c 9.799
_cell_angle_alpha 90.00
_cell_angle_beta 120.20
_cell_angle_gamma 90.00
loop_
_atom_site_label
_atom_site_fract_x
_atom_site_fract_y
_atom_site_fract_z
Na1 0.121 0.000 0.093
Tc1 0.035 0.000 0.415
Tc2 0.116 0.500 0.679
Tc3 0.166 0.500 0.418
P1 0.006 0.500 0.802
P2 0.216 0.000 0.643
```

# 2
NaTc3P: optimized geometry, PBE-GGA.

Values from the calculation:
Offset from the most stable computed form, meV/atom: 1983
Fermi-level density of states, states/eV per cell: 4.64

Cell and atoms, written as CIF:
```
data_NaTc3P
_symmetry_space_group_name_H-M 'P m -3 m'
_symmetry_Int_Tables_number 221
_symmetry_space_group_name_Hall '-P 4 2 3'
_cell_length_a 4.503
_cell_length_b 4.503
_cell_length_c 4.503
_cell_angle_alpha 90.00
_cell_angle_beta 90.00
_cell_angle_gamma 90.00
loop_
_atom_site_label
_atom_site_fract_x
_atom_site_fract_y
_atom_site_fract_z
Na1 0.000 0.000 0.000
Tc1 0.000 0.000 0.500
P1 0.500 0.500 0.500
```

# 3
NaTcP2: optimized geometry, PBE-GGA.

Values from the calculation:
Offset from the most stable computed form, meV/atom: 0
Fermi-level density of states, states/eV per cell: 0.59

Cell and atoms, written as CIF:
```
data_NaTcP2
_symmetry_space_group_name_H-M 'P 4/m m m'
_symmetry_Int_Tables_number 123
_symmetry_space_group_name_Hall '-P 4 2'
_cell_length_a 2.961
_cell_length_b 2.961
_cell_length_c 7.310
_cell_angle_alpha 90.00
_cell_angle_beta 90.00
_cell_angle_gamma 90.00
loop_
_atom_site_label
_atom_site_fract_x
_atom_site_fract_y
_atom_site_fract_z
Na1 0.000 0.000 0.000
Tc1 0.000 0.000 0.500
P1 0.500 0.500 0.305
```

# 4
Na3TcP: optimized geometry, PBE-GGA.

Values from the calculation:
Offset from the most stable computed form, meV/atom: 0
Fermi-level density of states, states/eV per cell: 2.57

Cell and atoms, written as CIF:
```
data_Na3TcP
_symmetry_space_group_name_H-M 'P m -3 m'
_symmetry_Int_Tables_number 221
_symmetry_space_group_name_Hall '-P 4 2 3'
_cell_length_a 5.378
_cell_length_b 5.378
_cell_length_c 5.378
_cell_angle_alpha 90.00
_cell_angle_beta 90.00
_cell_angle_gamma 90.00
loop_
_atom_site_label
_atom_site_fract_x
_atom_site_fract_y
_atom_site_fract_z
Na1 0.000 0.000 0.500
Tc1 0.500 0.500 0.500
P1 0.000 0.000 0.000
```

| no. | total magnetization (μB/f.u.) | ΔE_f (eV per formula unit) | total energy (eV/atom) |
| --- | --- | --- | --- |
| 1 | 0.0 | -1.21 | -7.408 |
| 2 | 5.1 | 13.27 | -4.912 |
| 3 | 0.0 | -1.44 | -5.987 |
| 4 | 5.0 | 4.63 | -3.020 |